(1)
Below is an optimized crystal structure of Ac2TmTi, with properties calculated at the PBE level.

Spin magnetization (μB/f.u.): 1.82
Raw total energy (eV per formula unit): -18.13
ΔE_f (eV per atom): 0.61

POSCAR file:
```
Ac2TmTi
1.0
1.804 1.042 12.368
-1.804 1.042 12.368
0.000 -2.084 12.368
Ac Tm Ti
2 1 1
Direct
0.084 0.084 0.084
0.916 0.916 0.916
0.500 0.500 0.500
0.000 0.000 0.000
```

(2)
Below is an optimized crystal structure of AcTmTi, with properties calculated at the PBE level.

Spin magnetization (μB/f.u.): 2.29
Raw total energy (eV per formula unit): -15.66
ΔE_f (eV per atom): 0.27

POSCAR file:
```
AcTmTi
1.0
3.877 0.000 0.000
0.000 3.877 0.000
0.000 0.000 12.204
Ac Tm Ti
2 2 2
Direct
0.250 0.250 0.122
0.750 0.750 0.878
0.250 0.250 0.416
0.750 0.750 0.584
0.250 0.250 0.708
0.750 0.750 0.292
```

(3)
Below is an optimized crystal structure of AcTi2V, with properties calculated at the PBE level.

Spin magnetization (μB/f.u.): 1.18
Raw total energy (eV per formula unit): -26.31
ΔE_f (eV per atom): 0.68

POSCAR file:
```
AcTi2V
1.0
1.578 0.911 10.204
-1.578 0.911 10.204
0.000 -1.823 10.204
Ac Ti V
1 2 1
Direct
0.000 0.000 0.000
0.103 0.103 0.103
0.897 0.897 0.897
0.500 0.500 0.500
```

(4)
Below is an optimized crystal structure of AcY2Ti, with properties calculated at the PBE level.

Spin magnetization (μB/f.u.): 1.95
Raw total energy (eV per formula unit): -22.76
ΔE_f (eV per atom): 0.54

POSCAR file:
```
AcY2Ti
1.0
1.752 1.011 12.064
-1.752 1.011 12.064
0.000 -2.023 12.064
Ac Y Ti
1 2 1
Direct
0.000 0.000 0.000
0.419 0.419 0.419
0.581 0.581 0.581
0.500 0.500 0.500
```

(5)
Below is an optimized crystal structure of Ac2YTi, with properties calculated at the PBE level.

Spin magnetization (μB/f.u.): 1.91
Raw total energy (eV per formula unit): -20.15
ΔE_f (eV per atom): 0.61

POSCAR file:
```
Ac2YTi
1.0
1.814 1.047 12.461
-1.814 1.047 12.461
0.000 -2.095 12.461
Ac Y Ti
2 1 1
Direct
0.084 0.084 0.084
0.916 0.916 0.916
0.500 0.500 0.500
0.000 0.000 0.000
```

(6)
Below is an optimized crystal structure of Ac2TiZn, with properties calculated at the PBE level.

Spin magnetization (μB/f.u.): 1.99
Raw total energy (eV per formula unit): -15.01
ΔE_f (eV per atom): 0.59

POSCAR file:
```
Ac2TiZn
1.0
1.805 1.042 11.475
-1.805 1.042 11.475
0.000 -2.084 11.475
Ac Ti Zn
2 1 1
Direct
0.093 0.093 0.093
0.907 0.907 0.907
0.000 0.000 0.000
0.500 0.500 0.500
```

(7)
Below is an optimized crystal structure of AcTiZn4, with properties calculated at the PBE level.

Spin magnetization (μB/f.u.): 1.60
Raw total energy (eV per formula unit): -17.58
ΔE_f (eV per atom): -0.08

POSCAR file:
```
AcTiZn4
1.0
0.000 3.878 3.878
3.878 0.000 3.878
3.878 3.878 0.000
Ac Ti Zn
1 1 4
Direct
0.000 0.000 0.000
0.750 0.750 0.750
0.377 0.377 0.377
0.377 0.377 0.869
0.377 0.869 0.377
0.869 0.377 0.377
```

(8)
Below is an optimized crystal structure of AcZr2Ti, with properties calculated at the PBE level.

Polymorph energy (0 for the lowest one) (meV/atom): 0
Spin magnetization (μB/f.u.): 0.00
Raw total energy (eV per formula unit): -28.22
ΔE_f (eV per atom): 0.22

POSCAR file:
```
AcZr2Ti
1.0
3.688 0.000 0.000
0.000 3.688 0.000
0.000 0.000 7.645
Ac Zr Ti
1 2 1
Direct
0.000 0.000 0.000
0.500 0.500 0.310
0.500 0.500 0.690
0.000 0.000 0.500
```

(9)
Below is an optimized crystal structure of AcZr2Ti, with properties calculated at the PBE level.

Polymorph energy (0 for the lowest one) (meV/atom): 205
Spin magnetization (μB/f.u.): 0.00
Raw total energy (eV per formula unit): -27.40
ΔE_f (eV per atom): 0.42

POSCAR file:
```
AcZr2Ti
1.0
1.636 0.945 11.255
-1.636 0.945 11.255
0.000 -1.889 11.255
Ac Zr Ti
1 2 1
Direct
0.000 0.000 0.000
0.098 0.098 0.098
0.902 0.902 0.902
0.500 0.500 0.500
```

(10)
Below is an optimized crystal structure of Ac3Tl5, with properties calculated at the PBE level.

Polymorph energy (0 for the lowest one) (meV/atom): 54
Spin magnetization (μB/f.u.): 0.00
Raw total energy (eV per formula unit): -26.73
ΔE_f (eV per atom): -0.32

POSCAR file:
```
Ac3Tl5
1.0
4.117 -5.737 0.000
4.117 5.737 0.000
0.000 0.000 5.737
Ac Tl
3 5
Direct
0.000 0.000 0.000
0.288 0.712 0.500
0.712 0.288 0.500
0.000 0.500 0.000
0.216 0.216 0.500
0.500 0.000 0.000
0.500 0.500 0.000
0.784 0.784 0.500
```

(11)
Below is an optimized crystal structure of Ac5Tl, with properties calculated at the PBE level.

Polymorph energy (0 for the lowest one) (meV/atom): 26
Spin magnetization (μB/f.u.): 0.00
Raw total energy (eV per formula unit): -23.30
ΔE_f (eV per atom): -0.07

POSCAR file:
```
Ac5Tl
1.0
2.706 -8.390 0.000
2.706 8.390 0.000
0.000 0.000 5.418
Ac Tl
5 1
Direct
0.000 0.000 0.000
0.164 0.836 0.500
0.338 0.662 0.000
0.662 0.338 0.000
0.836 0.164 0.500
0.500 0.500 0.500
```

(12)
Below is an optimized crystal structure of AcTl4, with properties calculated at the PBE level.

Polymorph energy (0 for the lowest one) (meV/atom): 0
Spin magnetization (μB/f.u.): 0.00
Raw total energy (eV per formula unit): -14.60
ΔE_f (eV per atom): -0.21

POSCAR file:
```
AcTl4
1.0
-2.667 3.520 8.347
2.667 -3.520 8.347
2.667 3.520 -8.347
Ac Tl
2 8
Direct
0.347 0.097 0.250
0.653 0.903 0.750
0.000 0.500 0.500
0.136 0.886 0.250
0.198 0.699 0.499
0.300 0.301 0.999
0.500 0.500 0.000
0.700 0.699 0.001
0.802 0.301 0.501
0.864 0.114 0.750
```

(13)
Below is an optimized crystal structure of Ac5Tl, with properties calculated at the PBE level.

Polymorph energy (0 for the lowest one) (meV/atom): 0
Spin magnetization (μB/f.u.): 0.00
Raw total energy (eV per formula unit): -23.46
ΔE_f (eV per atom): -0.09

POSCAR file:
```
Ac5Tl
1.0
6.785 -2.061 0.000
6.785 2.061 0.000
-3.678 0.000 9.009
Ac Tl
5 1
Direct
0.000 0.000 0.000
0.022 0.022 0.449
0.356 0.356 0.645
0.685 0.685 0.834
0.711 0.711 0.290
0.352 0.352 0.140
```

(14)
Below is an optimized crystal structure of AcTl6, with properties calculated at the PBE level.

Spin magnetization (μB/f.u.): 0.00
Raw total energy (eV per formula unit): -15.77
ΔE_f (eV per atom): 0.36

POSCAR file:
```
AcTl6
1.0
-4.168 4.168 4.168
4.168 -4.168 4.168
4.168 4.168 -4.168
Ac Tl
1 6
Direct
0.000 0.000 0.000
0.250 0.500 0.750
0.250 0.750 0.500
0.500 0.250 0.750
0.500 0.750 0.250
0.750 0.250 0.500
0.750 0.500 0.250
```

(15)
Below is an optimized crystal structure of Ac2Tl, with properties calculated at the PBE level.

Polymorph energy (0 for the lowest one) (meV/atom): 545
Spin magnetization (μB/f.u.): 0.00
Raw total energy (eV per formula unit): -9.65
ΔE_f (eV per atom): 0.31

POSCAR file:
```
Ac2Tl
1.0
0.000 5.028 5.028
5.028 0.000 5.028
5.028 5.028 0.000
Ac Tl
4 2
Direct
0.000 0.000 0.000
0.000 0.000 0.500
0.000 0.500 0.000
0.500 0.000 0.000
0.375 0.375 0.375
0.625 0.625 0.625
```

(16)
Below is an optimized crystal structure of Ac4Tl, with properties calculated at the PBE level.

Polymorph energy (0 for the lowest one) (meV/atom): 0
Spin magnetization (μB/f.u.): 0.13
Raw total energy (eV per formula unit): -19.42
ΔE_f (eV per atom): -0.12

POSCAR file:
```
Ac4Tl
1.0
-2.025 2.025 12.653
2.025 -2.025 12.653
2.025 2.025 -12.653
Ac Tl
4 1
Direct
0.084 0.084 0.000
0.305 0.305 0.000
0.695 0.695 0.000
0.916 0.916 0.000
0.500 0.500 0.000
```

(17)
Below is an optimized crystal structure of Ac3Tl, with properties calculated at the PBE level.

Polymorph energy (0 for the lowest one) (meV/atom): 41
Spin magnetization (μB/f.u.): 0.00
Raw total energy (eV per formula unit): -15.12
ΔE_f (eV per atom): -0.11

POSCAR file:
```
Ac3Tl
1.0
7.732 0.000 0.000
-3.866 6.696 0.000
0.000 0.000 6.006
Ac Tl
6 2
Direct
0.175 0.351 0.250
0.175 0.825 0.250
0.351 0.175 0.750
0.649 0.825 0.250
0.825 0.175 0.750
0.825 0.649 0.750
0.333 0.667 0.750
0.667 0.333 0.250
```

(18)
Below is an optimized crystal structure of AcTl5, with properties calculated at the PBE level.

Polymorph energy (0 for the lowest one) (meV/atom): 31
Spin magnetization (μB/f.u.): 0.00
Raw total energy (eV per formula unit): -16.72
ΔE_f (eV per atom): -0.13

POSCAR file:
```
AcTl5
1.0
3.213 -5.218 0.000
3.213 5.218 0.000
-2.104 0.000 5.694
Ac Tl
1 5
Direct
0.000 0.000 0.000
0.179 0.821 0.500
0.336 0.664 0.000
0.500 0.500 0.500
0.664 0.336 0.000
0.821 0.179 0.500
```

(19)
Below is an optimized crystal structure of Ac3Tl, with properties calculated at the PBE level.

Polymorph energy (0 for the lowest one) (meV/atom): 187
Spin magnetization (μB/f.u.): 0.00
Raw total energy (eV per formula unit): -14.53
ΔE_f (eV per atom): 0.04

POSCAR file:
```
Ac3Tl
1.0
3.867 0.000 0.000
0.000 3.937 0.000
0.000 0.000 11.311
Ac Tl
3 1
Direct
0.000 0.000 0.000
0.000 0.500 0.443
0.500 0.500 0.745
0.500 0.000 0.252
```

(20)
Below is an optimized crystal structure of Ac2Tl, with properties calculated at the PBE level.

Polymorph energy (0 for the lowest one) (meV/atom): 25
Spin magnetization (μB/f.u.): 0.00
Raw total energy (eV per formula unit): -11.20
ΔE_f (eV per atom): -0.21

POSCAR file:
```
Ac2Tl
1.0
2.897 -2.894 0.000
2.897 2.894 0.000
-2.882 0.000 6.976
Ac Tl
2 1
Direct
0.150 0.150 0.300
0.850 0.850 0.700
0.500 0.500 0.000
```

(21)
Below is an optimized crystal structure of Ac2Tl, with properties calculated at the PBE level.

Polymorph energy (0 for the lowest one) (meV/atom): 0
Spin magnetization (μB/f.u.): 0.00
Raw total energy (eV per formula unit): -11.28
ΔE_f (eV per atom): -0.23

POSCAR file:
```
Ac2Tl
1.0
7.490 0.000 0.000
0.000 5.698 0.000
0.000 0.000 10.805
Ac Tl
8 4
Direct
0.032 0.250 0.200
0.178 0.250 0.572
0.322 0.750 0.072
0.468 0.750 0.700
0.532 0.250 0.300
0.678 0.250 0.928
0.822 0.750 0.428
0.968 0.750 0.800
0.209 0.250 0.893
0.291 0.750 0.393
0.709 0.250 0.607
0.791 0.750 0.107
```

(22)
Below is an optimized crystal structure of Ac4Tl, with properties calculated at the PBE level.

Polymorph energy (0 for the lowest one) (meV/atom): 386
Spin magnetization (μB/f.u.): 0.00
Raw total energy (eV per formula unit): -17.49
ΔE_f (eV per atom): 0.26

POSCAR file:
```
Ac4Tl
1.0
6.334 0.000 0.000
0.000 6.334 0.000
0.000 0.000 6.334
Ac Tl
4 1
Direct
0.000 0.000 0.000
0.000 0.500 0.500
0.500 0.000 0.500
0.500 0.500 0.000
0.500 0.500 0.500
```

(23)
Below is an optimized crystal structure of Ac5Tl6, with properties calculated at the PBE level.

Spin magnetization (μB/f.u.): 0.00
Raw total energy (eV per formula unit): -37.72
ΔE_f (eV per atom): -0.27

POSCAR file:
```
Ac5Tl6
1.0
9.264 -4.115 0.000
9.264 4.115 0.000
-1.762 0.000 5.445
Ac Tl
5 6
Direct
0.000 0.000 0.000
0.180 0.180 0.680
0.362 0.362 0.362
0.638 0.638 0.638
0.820 0.820 0.320
0.078 0.590 0.834
0.219 0.781 0.500
0.410 0.922 0.166
0.590 0.078 0.834
0.781 0.219 0.500
0.922 0.410 0.166
```

(24)
Below is an optimized crystal structure of AcTl7, with properties calculated at the PBE level.

Spin magnetization (μB/f.u.): 0.00
Raw total energy (eV per formula unit): -21.68
ΔE_f (eV per atom): -0.13

POSCAR file:
```
AcTl7
1.0
0.000 5.007 5.007
5.007 0.000 5.007
5.007 5.007 0.000
Ac Tl
1 7
Direct
0.000 0.000 0.000
0.000 0.000 0.500
0.000 0.500 0.000
0.000 0.500 0.500
0.500 0.000 0.000
0.500 0.000 0.500
0.500 0.500 0.000
0.500 0.500 0.500
```

(25)
Below is an optimized crystal structure of Ac3Tl, with properties calculated at the PBE level.

Polymorph energy (0 for the lowest one) (meV/atom): 37
Spin magnetization (μB/f.u.): 0.00
Raw total energy (eV per formula unit): -15.13
ΔE_f (eV per atom): -0.11

POSCAR file:
```
Ac3Tl
1.0
-2.630 2.630 5.580
2.630 -2.630 5.580
2.630 2.630 -5.580
Ac Tl
3 1
Direct
0.000 0.000 0.000
0.250 0.750 0.500
0.750 0.250 0.500
0.500 0.500 0.000
```

(26)
Below is an optimized crystal structure of AcTl5, with properties calculated at the PBE level.

Polymorph energy (0 for the lowest one) (meV/atom): 0
Spin magnetization (μB/f.u.): 0.00
Raw total energy (eV per formula unit): -16.90
ΔE_f (eV per atom): -0.16

POSCAR file:
```
AcTl5
1.0
2.487 -7.176 0.000
2.487 7.176 0.000
0.000 0.000 5.221
Ac Tl
1 5
Direct
0.000 0.000 0.000
0.172 0.828 0.500
0.322 0.678 0.000
0.500 0.500 0.500
0.678 0.322 0.000
0.828 0.172 0.500
```

(27)
Below is an optimized crystal structure of Ac4Tl, with properties calculated at the PBE level.

Polymorph energy (0 for the lowest one) (meV/atom): 71
Spin magnetization (μB/f.u.): 0.00
Raw total energy (eV per formula unit): -19.07
ΔE_f (eV per atom): -0.05

POSCAR file:
```
Ac4Tl
1.0
0.000 8.590 3.593
6.740 0.000 3.593
6.740 8.590 0.000
Ac Tl
8 2
Direct
0.130 0.870 0.260
0.440 0.524 0.342
0.510 0.990 0.380
0.524 0.440 0.694
0.556 0.908 0.726
0.870 0.130 0.740
0.908 0.556 0.810
0.990 0.510 0.120
0.070 0.070 0.930
0.320 0.320 0.180
```